(1)
# Gd5Th

Crystalline Gd5Th at its relaxed geometry (PBE-GGA, the Alexandria database).

Output
Its total energy is -12.94 eV per atom. Its formation energy is 17 kJ/mol of formula units. The value obtained for the volume is 32.4 A^3/atom.

```
data_Gd5Th
_space_group_name_H-M_alt 'C m m m'
_space_group_IT_number 65
_space_group_name_Hall '-C 2 2'
_cell_length_a 5.060
_cell_length_b 15.159
_cell_length_c 5.066
_cell_angle_alpha 90.00
_cell_angle_beta 90.00
_cell_angle_gamma 90.00
loop_
_atom_site_label
_atom_site_fract_x
_atom_site_fract_y
_atom_site_fract_z
Gd1 0.000 0.000 0.000
Gd2 0.000 0.163 0.500
Gd3 0.000 0.338 0.000
Th1 0.000 0.500 0.500
```



(2)
# GdTh3

Crystalline GdTh3 at its relaxed geometry (PBE-GGA, the Alexandria database).

Output
For the relative energy among the computed polymorphs, the calculation gives 0.009 eV/atom. Its total energy is -9.03 eV per atom. Its formation energy is 20 kJ/mol of formula units. The value obtained for the volume is 32.4 A^3/atom.

```
data_GdTh3
_space_group_name_H-M_alt 'P m m 2'
_space_group_IT_number 25
_cell_length_a 3.556
_cell_length_b 5.907
_cell_length_c 6.175
_cell_angle_alpha 90.00
_cell_angle_beta 90.00
_cell_angle_gamma 90.00
loop_
_space_group_symop_operation_xyz
'x,y,z'
'-x,-y,z'
'-x,y,z'
'x,-y,z'
loop_
_atom_site_label
_atom_site_fract_x
_atom_site_fract_y
_atom_site_fract_z
Gd1 0.000 0.000 0.000
Th1 0.000 0.500 0.674
Th2 0.500 0.000 0.503
Th3 0.500 0.500 0.175
```



(3)
# GdTh3

Crystalline GdTh3 at its relaxed geometry (PBE-GGA, the Alexandria database).

Output
For the relative energy among the computed polymorphs, the calculation gives 0.009 eV/atom. Its total energy is -9.03 eV per atom. Its formation energy is 21 kJ/mol of formula units. The value obtained for the volume is 32.2 A^3/atom.

```
data_GdTh3
_space_group_name_H-M_alt 'P m -3 m'
_space_group_IT_number 221
_space_group_name_Hall '-P 4 2 3'
_cell_length_a 5.049
_cell_length_b 5.049
_cell_length_c 5.049
_cell_angle_alpha 90.00
_cell_angle_beta 90.00
_cell_angle_gamma 90.00
loop_
_atom_site_label
_atom_site_fract_x
_atom_site_fract_y
_atom_site_fract_z
Gd1 0.000 0.000 0.000
Th1 0.000 0.500 0.500
```



(4)
# GdTh3

Crystalline GdTh3 at its relaxed geometry (PBE-GGA, the Alexandria database).

Output
For the relative energy among the computed polymorphs, the calculation gives 0.011 eV/atom. Its total energy is -9.03 eV per atom. Its formation energy is 22 kJ/mol of formula units. The value obtained for the volume is 32.5 A^3/atom.

```
data_GdTh3
_space_group_name_H-M_alt 'I m m 2'
_space_group_IT_number 44
_cell_length_a 3.556
_cell_length_b 11.803
_cell_length_c 6.193
_cell_angle_alpha 90.00
_cell_angle_beta 90.00
_cell_angle_gamma 90.00
loop_
_space_group_symop_operation_xyz
'x,y,z'
'-x,-y,z'
'-x,y,z'
'x,-y,z'
'x+1/2,y+1/2,z+1/2'
'-x+1/2,-y+1/2,z+1/2'
'-x+1/2,y+1/2,z+1/2'
'x+1/2,-y+1/2,z+1/2'
loop_
_atom_site_label
_atom_site_fract_x
_atom_site_fract_y
_atom_site_fract_z
Gd1 0.000 0.000 0.000
Th1 0.000 0.250 0.321
Th2 0.000 0.500 0.994
```



(5)
# Gd3Th

Crystalline Gd3Th at its relaxed geometry (PBE-GGA, the Alexandria database).

Output
For the relative energy among the computed polymorphs, the calculation gives 0.109 eV/atom. Its total energy is -12.26 eV per atom. Its formation energy is 61 kJ/mol of formula units. The value obtained for the volume is 32.8 A^3/atom.

```
data_Gd3Th
_space_group_name_H-M_alt 'F m -3 m'
_space_group_IT_number 225
_space_group_name_Hall '-F 4 2 3'
_cell_length_a 8.070
_cell_length_b 8.070
_cell_length_c 8.070
_cell_angle_alpha 90.00
_cell_angle_beta 90.00
_cell_angle_gamma 90.00
loop_
_atom_site_label
_atom_site_fract_x
_atom_site_fract_y
_atom_site_fract_z
Gd1 0.000 0.000 0.000
Gd2 0.250 0.250 0.250
Th1 0.000 0.000 0.500
```



(6)
# GdTh5

Crystalline GdTh5 at its relaxed geometry (PBE-GGA, the Alexandria database).

Output
Its total energy is -8.49 eV per atom. Its formation energy is 20 kJ/mol of formula units. The value obtained for the volume is 32.0 A^3/atom.

```
data_GdTh5
_space_group_name_H-M_alt 'C m m m'
_space_group_IT_number 65
_space_group_name_Hall '-C 2 2'
_cell_length_a 5.032
_cell_length_b 15.202
_cell_length_c 5.027
_cell_angle_alpha 90.00
_cell_angle_beta 90.00
_cell_angle_gamma 90.00
loop_
_atom_site_label
_atom_site_fract_x
_atom_site_fract_y
_atom_site_fract_z
Gd1 0.000 0.000 0.000
Th1 0.000 0.166 0.500
Th2 0.000 0.332 0.000
Th3 0.000 0.500 0.500
```